(1)
# NdSm2Fe2B2N3 PBE optimized geometry
# **VASP energy**: -7.932 eV/atom
# **Magnetic moment**: 2.44 μB/f.u.
data_NdSm2Fe2B2N3
_cell_length_a 3.5495
_cell_length_b 3.5495
_cell_length_c 20.7818
_cell_angle_alpha 90.00
_cell_angle_beta 90.00
_cell_angle_gamma 90.00
_space_group_name_H-M_alt 'I 4/m m m'
_space_group_IT_number 139
_space_group_name_Hall '-I 4 2'
loop_
_atom_site_label
_atom_site_fract_x
_atom_site_fract_y
_atom_site_fract_z
Nd1 0.0000 0.0000 0.0000
Sm1 0.0000 0.0000 0.3752
Fe1 0.0000 0.5000 0.2500
B1 0.0000 0.0000 0.1897
N1 0.0000 0.0000 0.1188
N2 0.0000 0.0000 0.5000

(2)
# Er3Sc3CuTe2 PBE optimized geometry
# **Magnetic moment**: 0.01 μB/f.u.
# **Energy above the most stable polymorph in this dataset**: 0.5 meV per atom
data_Er3Sc3CuTe2
_cell_length_a 3.9232
_cell_length_b 13.7968
_cell_length_c 7.9634
_cell_angle_alpha 90.00
_cell_angle_beta 90.00
_cell_angle_gamma 90.00
_space_group_name_H-M_alt 'A m m 2'
_space_group_IT_number 38
loop_
_space_group_symop_operation_xyz
'x,y,z'
'-x,-y,z'
'-x,y,z'
'x,-y,z'
'x,y+1/2,z+1/2'
'-x,-y+1/2,z+1/2'
'-x,y+1/2,z+1/2'
'x,-y+1/2,z+1/2'
loop_
_atom_site_label
_atom_site_fract_x
_atom_site_fract_y
_atom_site_fract_z
Er1 0.0000 0.0000 0.0000
Er2 0.0000 0.1970 0.4085
Sc1 0.5000 0.0000 0.3678
Sc2 0.5000 0.1188 0.7242
Cu1 0.0000 0.0000 0.6047
Te1 0.5000 0.1668 0.1055

(3)
# AgH3C2S2 PBE optimized geometry
# **VASP energy**: -4.978 eV/atom
data_AgH3C2S2
_cell_length_a 9.4581
_cell_length_b 6.1959
_cell_length_c 7.9637
_cell_angle_alpha 90.00
_cell_angle_beta 100.18
_cell_angle_gamma 90.00
_space_group_name_H-M_alt 'P 1 21/c 1'
_space_group_IT_number 14
loop_
_space_group_symop_operation_xyz
'x,y,z'
'-x,-y,-z'
'-x,y+1/2,-z+1/2'
'x,-y+1/2,z+1/2'
loop_
_atom_site_label
_atom_site_fract_x
_atom_site_fract_y
_atom_site_fract_z
Ag1 0.1061 0.1235 0.1248
H1 0.3614 0.6657 0.6683
H2 0.3967 0.5545 0.1373
H3 0.4780 0.6836 0.3277
C1 0.2552 0.6133 0.3158
C2 0.3788 0.6770 0.2313
S1 0.1261 0.7032 0.8304
S2 0.2593 0.1395 0.8997

(4)
# NbInNiMo PBE optimized geometry
# **Magnetic moment**: 0.00 μB/f.u.
# **Energy above the most stable polymorph in this dataset**: 0.0 meV per atom
data_NbInNiMo
_cell_length_a 6.4133
_cell_length_b 6.4133
_cell_length_c 6.4133
_cell_angle_alpha 90.00
_cell_angle_beta 90.00
_cell_angle_gamma 90.00
_space_group_name_H-M_alt 'F -4 3 m'
_space_group_IT_number 216
_space_group_name_Hall 'F -4 2 3'
loop_
_atom_site_label
_atom_site_fract_x
_atom_site_fract_y
_atom_site_fract_z
Nb1 0.0000 0.0000 0.0000
In1 0.0000 0.0000 0.5000
Ni1 0.2500 0.2500 0.7500
Mo1 0.2500 0.2500 0.2500

(5)
# PaZn2 PBE optimized geometry
# **Magnetic moment**: 0.74 μB/f.u.
# **Calculated formation energy**: 0.126 eV per atom
data_PaZn2
_cell_length_a 5.3706
_cell_length_b 5.3706
_cell_length_c 4.6944
_cell_angle_alpha 90.00
_cell_angle_beta 90.00
_cell_angle_gamma 120.00
_space_group_name_H-M_alt 'P -6 2 m'
_space_group_IT_number 189
_space_group_name_Hall 'P -6 -2'
loop_
_atom_site_label
_atom_site_fract_x
_atom_site_fract_y
_atom_site_fract_z
Pa1 0.3333 0.6667 0.0000
Zn1 0.0000 0.0000 0.0000
Zn2 0.0000 0.2920 0.5000

(6)
# In2CoCu4Ni PBE optimized geometry
# **VASP energy**: -4.017 eV/atom
# **Magnetic moment**: 1.06 μB/f.u.
data_In2CoCu4Ni
_cell_length_a 4.2488
_cell_length_b 4.2488
_cell_length_c 6.0129
_cell_angle_alpha 90.00
_cell_angle_beta 90.00
_cell_angle_gamma 90.00
_space_group_name_H-M_alt 'P 4/m m m'
_space_group_IT_number 123
_space_group_name_Hall '-P 4 2'
loop_
_atom_site_label
_atom_site_fract_x
_atom_site_fract_y
_atom_site_fract_z
In1 0.0000 0.0000 0.0000
In2 0.5000 0.5000 0.5000
Co1 0.0000 0.0000 0.5000
Cu1 0.0000 0.5000 0.2499
Ni1 0.5000 0.5000 0.0000

(7)
# Na2USe3 PBE optimized geometry
# **VASP energy**: -5.135 eV/atom
# **Magnetic moment**: 2.00 μB/f.u.
data_Na2USe3
_cell_length_a 4.2698
_cell_length_b 14.8556
_cell_length_c 11.4095
_cell_angle_alpha 90.00
_cell_angle_beta 90.00
_cell_angle_gamma 90.00
_space_group_name_H-M_alt 'C m c m'
_space_group_IT_number 63
_space_group_name_Hall '-C 2c 2'
loop_
_atom_site_label
_atom_site_fract_x
_atom_site_fract_y
_atom_site_fract_z
Na1 0.0000 0.1273 0.2500
Na2 0.0000 0.1313 0.7500
U1 0.0000 0.5000 0.0000
Se1 0.0000 0.1272 0.0006
Se2 0.0000 0.4983 0.2500

(8)
# TbNi4Pd PBE optimized geometry
# **Magnetic moment**: 0.09 μB/f.u.
# **Calculated formation energy**: -0.357 eV per atom
data_TbNi4Pd
_cell_length_a 6.9249
_cell_length_b 6.9249
_cell_length_c 6.9249
_cell_angle_alpha 90.00
_cell_angle_beta 90.00
_cell_angle_gamma 90.00
_space_group_name_H-M_alt 'F -4 3 m'
_space_group_IT_number 216
_space_group_name_Hall 'F -4 2 3'
loop_
_atom_site_label
_atom_site_fract_x
_atom_site_fract_y
_atom_site_fract_z
Tb1 0.0000 0.0000 0.0000
Ni1 0.1243 0.1243 0.6243
Pd1 0.2500 0.2500 0.2500